{
  "formula": "NaLi3Mg",
  "functional": "SCAN",
  "state": "single point on PBEsol structure",
  "spacegroup": "Pm-3m",
  "m_tot_mub_per_cell": 0.000,
  "e_tot_ev_per_atom": -2.978,
  "vol_a3_per_atom": 30.15,
  "delta_e_f_kj_per_mol_fu": 141,
  "cell": [[5.322, 0.000, 0.000], [0.000, 5.322, 0.000], [0.000, 0.000, 5.322]],
  "species": ["Na", "Li", "Mg", "Li", "Li"],
  "fractional_positions": [[0.500, 0.500, 0.500], [0.000, 0.500, 0.000], [0.000, 0.000, 0.000], [0.000, 0.000, 0.500], [0.500, 0.000, 0.000]]
}